The following is a DFT calculation (PBE-GGA) of a relaxed La3BeHg crystal.

Summary:
As for the crystal system: cubic. The value obtained for the mass density is 5.02 g/cm³. The uncorrected energy comes out at -15.2 eV/f.u. The calculation puts the calculated formation energy at 0.714 eV/atom. The space group is No. 221.

Unit cell a=5.919 b=5.919 c=5.919 alpha=90.00 beta=90.00 gamma=90.00
Each line ends with the local moment (μB).
Fractional coordinates of all 5 atoms:
1 Be 0.500 0.500 0.500  0.11
2 Hg 0.000 0.000 0.000  0.06
3 La 0.000 0.500 0.000  0.19
4 La 0.000 0.000 0.500  0.15
5 La 0.500 0.000 0.000  0.26

---

The following is a DFT calculation (PBE-GGA) of a relaxed ThGa4Pd2 crystal.

Summary:
As for the crystal system: orthorhombic. Its energy above the most stable polymorph in this dataset is 0.0 meV/atom. The value obtained for the mass density is 9.35 g/cm³. The uncorrected energy comes out at -34.6 eV/f.u. The calculation puts the calculated formation energy at -0.672 eV/atom. The space group is No. 62.

Unit cell a=4.478 b=6.592 c=17.417 alpha=90.00 beta=90.00 gamma=90.00
Fractional coordinates of all 28 atoms:
1 Pd 0.250 0.760 0.534
2 Pd 0.750 0.240 0.466
3 Pd 0.750 0.260 0.966
4 Pd 0.250 0.740 0.034
5 Pd 0.250 0.981 0.783
6 Pd 0.750 0.019 0.217
7 Pd 0.750 0.481 0.717
8 Pd 0.250 0.519 0.283
9 Ga 0.250 0.288 0.690
10 Ga 0.750 0.712 0.310
11 Ga 0.750 0.788 0.810
12 Ga 0.250 0.212 0.190
13 Ga 0.250 0.685 0.683
14 Ga 0.750 0.315 0.317
15 Ga 0.750 0.185 0.817
16 Ga 0.250 0.815 0.183
17 Ga 0.250 0.179 0.537
18 Ga 0.750 0.821 0.463
19 Ga 0.750 0.679 0.963
20 Ga 0.250 0.321 0.037
21 Ga 0.250 0.486 0.429
22 Ga 0.750 0.514 0.571
23 Ga 0.750 0.986 0.071
24 Ga 0.250 0.014 0.929
25 Th 0.750 0.994 0.638
26 Th 0.250 0.006 0.362
27 Th 0.250 0.494 0.862
28 Th 0.750 0.506 0.138

---

The following is a DFT calculation (PBE-GGA) of a relaxed ScRe2Au crystal.

Summary:
As for the crystal system: orthorhombic. Its energy above the most stable polymorph in this dataset is 452.4 meV/atom. The value obtained for the mass density is 15.30 g/cm³. The uncorrected energy comes out at -33.2 eV/f.u. The calculation puts the calculated formation energy at 0.329 eV/atom. The space group is No. 65.

Unit cell a=2.738 b=2.738 c=9.279 alpha=90.00 beta=90.00 gamma=106.65
Fractional coordinates of all 4 atoms:
1 Au 0.500 0.500 0.750
2 Re 0.000 0.000 0.002
3 Re 0.000 0.000 0.498
4 Sc 0.500 0.500 0.250

---

The following is a DFT calculation (PBE-GGA) of a relaxed Zr2AlNiAu crystal.

Summary:
As for the crystal system: tetragonal. The value obtained for the mass density is 6.34 g/cm³. The uncorrected energy comes out at -26.4 eV/f.u. The calculation puts the calculated formation energy at 0.694 eV/atom. The space group is No. 123.

Unit cell a=5.114 b=4.654 c=5.114 alpha=90.00 beta=90.00 gamma=90.00
Fractional coordinates of all 5 atoms:
1 Ni 0.000 0.500 0.000
2 Au 0.000 0.000 0.000
3 Al 0.500 0.500 0.500
4 Zr 0.000 0.000 0.500
5 Zr 0.500 0.000 0.000